# CsMoIO6, relaxed, DFT PBE with a Hubbard U
# - DOS(E_F): 0.000 states/eV/f.u.
# - E: -5.54 eV per atom
data_CsMoIO6
_chemical_formula_sum 'Cs2 Mo2 I2 O12'
_symmetry_space_group_name_H-M 'C 1 2 1'
_symmetry_Int_Tables_number 5
_cell_length_a 5.406
_cell_length_b 10.411
_cell_length_c 6.527
_cell_angle_alpha 90.00
_cell_angle_beta 91.18
_cell_angle_gamma 90.00
loop_
_symmetry_equiv_pos_as_xyz
'x,y,z'
'-x,y,-z'
'x+1/2,y+1/2,z'
'-x+1/2,y+1/2,-z'
loop_
_atom_site_label
_atom_site_type_symbol
_atom_site_fract_x
_atom_site_fract_y
_atom_site_fract_z
Cs1 Cs 0.000 0.000 0.000
Mo1 Mo 0.000 0.337 0.500
I1 I 0.000 0.676 0.500
O1 O 0.034 0.453 0.301
O2 O 0.168 0.797 0.333
O3 O 0.193 0.204 0.336